A relaxed K2MgIn crystal. Source: Alexandria via LeMat-Bulk, functional GGA-PBE.

Cell and atoms, written as extended XYZ:
```
4
Lattice="5.3053 -0.0437 0.0317 2.7146 4.5583 0.0317 2.5991 1.4631 6.9210" Properties=species:S:1:pos:R:3 pbc="T T T"
K 2.6107 1.4697 6.4679
K 2.6410 1.4867 2.2126
In 7.9729 4.4882 4.3641
Mg 5.3029 2.9852 4.3530
```

E_tot	-1.617	eV/atom
space-group type	Cm
total magnetic moment	0.00	μB/f.u.

***

A relaxed K2MgIn crystal. Source: Alexandria via LeMat-Bulk, functional GGA-PBE.

Cell and atoms, written as extended XYZ:
```
8
Lattice="9.9778 0.0000 0.0000 0.0000 9.9778 0.0000 4.9889 4.9889 3.3035" Properties=species:S:1:pos:R:3 pbc="T T T"
K 2.4136 7.4834 0.8259
K 7.4834 7.4025 2.4776
K 12.4723 12.5531 2.4776
K 7.5642 2.4945 0.8259
Mg 4.9889 4.9889 0.0000
Mg 4.9889 9.9778 1.6517
In 0.0000 0.0000 0.0000
In 9.9778 4.9889 1.6517
```

E_tot	-1.396	eV/atom
space-group type	I-42d
total magnetic moment	0.00	μB/f.u.

***

A relaxed KMg3In9 crystal. Source: Alexandria via LeMat-Bulk, functional GGA-PBE.

Cell and atoms, written as extended XYZ:
```
13
Lattice="-4.2522 4.3320 0.8498 -3.1468 -0.0819 7.4758 3.3077 7.0406 2.7656" Properties=species:S:1:pos:R:3 pbc="T T T"
In -0.8787 2.4600 5.8466
In -1.5734 -0.0410 3.7379
In -2.6550 5.2576 4.1440
In -1.2004 2.7859 2.4587
In -3.8292 3.5897 6.8875
In -1.4364 6.0330 6.9472
In -0.2621 7.7009 4.2037
In -2.8909 8.5047 8.6324
In -3.2126 8.8306 5.2445
Mg 1.6538 3.5203 1.3828
Mg -3.6995 2.1250 4.1628
Mg -0.4723 5.6863 1.8077
K 0.0000 0.0000 0.0000
```

E_tot	-2.410	eV/atom
space-group type	C2/m
total magnetic moment	0.00	μB/f.u.

***

A relaxed K2MgIn crystal. Source: Alexandria via LeMat-Bulk, functional GGA-PBE.

Cell and atoms, written as extended XYZ:
```
4
Lattice="5.8258 -0.0578 0.0000 -0.0296 5.8261 0.0000 -2.8981 -2.8841 4.1505" Properties=species:S:1:pos:R:3 pbc="T T T"
Mg 2.8981 2.8841 0.0000
K 0.0000 0.0000 0.0000
K -0.0148 2.9130 2.0752
In 2.9129 -0.0289 2.0752
```

E_tot	-1.552	eV/atom
space-group type	I-4m2
total magnetic moment	0.00	μB/f.u.

***

A relaxed K2MgIn crystal. Source: Alexandria via LeMat-Bulk, functional GGA-PBE.

Cell and atoms, written as extended XYZ:
```
4
Lattice="-1.8539 2.7506 -2.3610 -0.0342 -2.6663 -3.0794 -9.1458 -3.4860 3.1199" Properties=species:S:1:pos:R:3 pbc="T T T"
K -8.5170 -3.2464 2.9054
K -3.8024 -1.0474 -1.7451
In -7.1568 -2.3259 -0.6008
Mg -5.2763 -2.0111 1.7999
```

E_tot	-1.605	eV/atom
space-group type	P4mm
total magnetic moment	0.00	μB/f.u.

***

A relaxed K2MgIn crystal. Source: Alexandria via LeMat-Bulk, functional GGA-PBE.

Cell and atoms, written as extended XYZ:
```
4
Lattice="-2.2744 5.2577 -1.2898 -0.3139 -0.9860 -3.4658 -6.8612 -3.4275 -1.8730" Properties=species:S:1:pos:R:3 pbc="T T T"
In -6.5185 -0.6813 -4.6489
K -6.8187 -3.4098 -1.8757
K -3.6301 -2.2245 -2.6666
Mg -2.9310 1.5255 -1.9796
```

E_tot	-1.480	eV/atom
space-group type	P2/m
total magnetic moment	0.00	μB/f.u.

***

A relaxed KMg3In4 crystal. Source: Alexandria via LeMat-Bulk, functional GGA-PBE.

Cell and atoms, written as extended XYZ:
```
8
Lattice="-3.1983 0.2958 -4.8193 -4.7348 -3.3314 0.1613 -4.1502 6.0499 3.1256" Properties=species:S:1:pos:R:3 pbc="T T T"
K -2.0751 3.0249 1.5628
In -5.7073 3.2030 2.5959
In -3.1777 -0.4845 0.6909
In -4.9390 5.0166 0.1056
In -2.4095 1.3291 -1.7994
Mg -7.2594 3.2824 0.1509
Mg -4.8239 -0.2681 -1.6834
Mg 0.0000 0.0000 0.0000
```

E_tot	-2.089	eV/atom
space-group type	Cmmm
total magnetic moment	0.00	μB/f.u.

***

A relaxed K3Mg3In8 crystal. Source: Alexandria via LeMat-Bulk, functional GGA-PBE.

Cell and atoms, written as extended XYZ:
```
14
Lattice="-3.1769 3.8167 0.7953 -7.5435 -1.8063 -5.5637 -6.9556 -3.6117 5.4494" Properties=species:S:1:pos:R:3 pbc="T T T"
In -10.1807 -2.5475 3.3603
In -12.1963 -0.6538 2.1222
In -7.1601 -0.0838 3.6030
In -5.4797 -0.9475 -1.4413
In -12.3599 -0.1513 -0.9435
In -7.4954 0.9462 -2.6794
In -5.3161 -1.4501 1.6245
In -10.5160 -1.5176 -2.9220
K -5.5029 1.9196 0.6084
K -12.1731 -3.5209 0.0725
K -8.8380 -0.8007 0.3405
Mg -7.4331 -2.1453 -3.4958
Mg -1.5885 1.9084 0.3976
Mg -7.0660 -3.2727 3.3815
```

E_tot	-2.243	eV/atom
space-group type	Immm
total magnetic moment	0.00	μB/f.u.

***

A relaxed K2MgIn crystal. Source: Alexandria via LeMat-Bulk, functional GGA-PBE.

Cell and atoms, written as extended XYZ:
```
4
Lattice="-4.7343 0.1610 -4.9809 -5.8555 -3.4232 1.1152 3.8569 4.5648 3.3965" Properties=species:S:1:pos:R:3 pbc="T T T"
In -3.6468 -0.2448 1.2895
K -0.0001 0.0000 0.0000
K -5.2949 -1.6311 -1.9328
Mg -3.0862 1.5473 -1.7586
```

E_tot	-1.488	eV/atom
space-group type	I4/mmm
total magnetic moment	0.00	μB/f.u.

***

A relaxed KMg3In crystal. Source: Alexandria via LeMat-Bulk, functional GGA-PBE.

Cell and atoms, written as extended XYZ:
```
5
Lattice="-0.5670 -5.3463 2.9378 5.8605 -1.2966 -1.2285 1.6938 2.6965 5.2341" Properties=species:S:1:pos:R:3 pbc="T T T"
Mg 2.9302 -0.6483 -0.6143
Mg -0.2835 -2.6732 1.4689
Mg 0.8469 1.3483 2.6170
K 0.0000 0.0000 0.0000
In 3.4936 -1.9732 3.4717
```

E_tot	-0.770	eV/atom
space-group type	Pm-3m
total magnetic moment	0.00	μB/f.u.
energy above the lowest structure with this stoichiometry	731	meV per atom

***

A relaxed K4MgIn crystal. Source: Alexandria via LeMat-Bulk, functional GGA-PBE.

Cell and atoms, written as extended XYZ:
```
6
Lattice="0.0000 5.2404 5.2404 5.2404 0.0000 5.2404 5.2404 5.2404 0.0000" Properties=species:S:1:pos:R:3 pbc="T T T"
K 6.5535 3.9274 6.5535
K 3.9274 3.9274 3.9274
K 6.5535 6.5535 3.9274
K 3.9274 6.5535 6.5535
Mg 7.8607 7.8607 7.8607
In 0.0000 0.0000 0.0000
```

E_tot	-1.127	eV/atom
space-group type	F-43m
total magnetic moment	0.00	μB/f.u.

***

A relaxed KMgIn6 crystal. Source: Alexandria via LeMat-Bulk, functional GGA-PBE.

Cell and atoms, written as extended XYZ:
```
8
Lattice="-4.4341 -1.9217 -1.9467 -1.1543 -5.0409 0.6329 -6.5637 -0.1681 8.1417" Properties=species:S:1:pos:R:3 pbc="T T T"
In -9.2228 -5.2983 5.3192
In -5.1365 -0.8217 5.5369
In -7.0156 -6.3091 1.2909
In -2.9293 -1.8325 1.5086
In -7.9527 -2.7060 6.8389
In -4.1994 -4.4248 -0.0111
Mg 0.0000 0.0000 0.0000
K -6.0760 -3.5654 3.4139
```

E_tot	-2.435	eV/atom
space-group type	R-3m
total magnetic moment	0.00	μB/f.u.
energy above the lowest structure with this stoichiometry	26	meV per atom

***

A relaxed K2MgIn crystal. Source: Alexandria via LeMat-Bulk, functional GGA-PBE.

Cell and atoms, written as extended XYZ:
```
4
Lattice="-4.2768 4.2722 5.4913 -2.7723 -0.9752 -5.9456 -3.1233 -1.5400 1.8213" Properties=species:S:1:pos:R:3 pbc="T T T"
In -3.5246 1.6485 -0.2272
K -3.7001 1.3661 3.6563
K 0.0000 0.0000 0.0000
Mg -2.9478 -1.2576 -2.0622
```

E_tot	-1.471	eV/atom
space-group type	C2/m
total magnetic moment	0.00	μB/f.u.

***

A relaxed K2MgIn crystal. Source: Alexandria via LeMat-Bulk, functional GGA-PBE.

Cell and atoms, written as extended XYZ:
```
4
Lattice="12.7251 0.0453 0.0266 12.1519 3.7763 0.0266 12.1519 1.8668 3.2827" Properties=species:S:1:pos:R:3 pbc="T T T"
K 0.1092 0.0168 0.0098
K 18.4052 2.8274 1.6581
In 27.7717 4.2662 2.5019
Mg 9.2572 1.4221 0.8340
```

E_tot	-1.438	eV/atom
space-group type	R-3m
total magnetic moment	0.00	μB/f.u.

***

A relaxed KMg4In crystal. Source: Alexandria via LeMat-Bulk, functional GGA-PBE.

Cell and atoms, written as extended XYZ:
```
6
Lattice="-3.2641 -2.2988 4.7583 -4.2044 3.5478 2.8839 -6.0582 -1.1915 -0.6774" Properties=species:S:1:pos:R:3 pbc="T T T"
Mg -6.7050 -1.1192 4.9797
Mg -5.0852 0.0216 2.6183
Mg -8.0917 -0.5697 2.2821
Mg -7.1717 1.7823 4.0495
K 0.0000 0.0000 0.0000
In -10.1451 0.0431 5.2236
```

E_tot	-1.603	eV/atom
space-group type	F-43m
total magnetic moment	0.00	μB/f.u.

***

A relaxed K2MgIn crystal. Source: Alexandria via LeMat-Bulk, functional GGA-PBE.

Cell and atoms, written as extended XYZ:
```
4
Lattice="-1.8294 -1.7140 4.5641 0.0921 -4.6006 -1.6908 6.4309 -3.0218 1.4428" Properties=species:S:1:pos:R:3 pbc="T T T"
Mg 3.4833 -4.7043 -0.3705
In 3.8065 -5.6908 2.3592
K 6.1031 -7.2866 -0.2901
K 1.0853 -3.0883 2.2458
```

E_tot	-1.573	eV/atom
space-group type	Pm
total magnetic moment	0.00	μB/f.u.

***

A relaxed KMg2In9 crystal. Source: Alexandria via LeMat-Bulk, functional GGA-PBE.

Cell and atoms, written as extended XYZ:
```
24
Lattice="7.5583 0.0000 3.4797 3.7791 8.9854 1.7398 0.0215 0.0000 9.9018" Properties=species:S:1:pos:R:3 pbc="T T T"
In 1.8126 1.5897 4.9941
In 4.8520 3.7784 10.3755
In 4.9835 6.0824 3.0806
In 5.7672 1.5897 8.3874
In 8.7735 7.3956 9.7714
In 4.8412 0.7143 5.4246
In 3.5116 8.2711 8.3127
In 2.7386 0.7143 7.9569
In 5.7565 2.9029 3.4365
In 6.3646 7.3956 7.0898
In 1.8233 2.9029 9.9450
In 2.5963 6.0824 10.3008
In 7.2799 5.2069 5.1017
In 2.7279 3.7784 3.0060
In 7.5690 4.4927 8.4306
In 4.0683 8.2711 5.0688
In 7.8582 5.2069 11.7595
In 0.0000 0.0000 0.0000
Mg 7.5637 2.2463 5.9551
Mg 5.6849 6.7390 10.0361
Mg 7.5744 2.2463 10.9060
Mg 9.4532 6.7390 6.8251
K 3.7791 0.0000 1.7398
K 3.7899 4.4927 6.6907
```

E_tot	-2.483	eV/atom
space-group type	I4_1/amd
total magnetic moment	0.00	μB/f.u.

***

A relaxed KMg9In3 crystal. Source: Alexandria via LeMat-Bulk, functional GGA-PBE.

Cell and atoms, written as extended XYZ:
```
13
Lattice="5.6656 0.0177 2.2998 2.7510 7.3708 1.1167 0.0637 0.0088 7.9719" Properties=species:S:1:pos:R:3 pbc="T T T"
K 0.0000 0.0000 0.0000
Mg 4.7013 2.6516 4.7243
Mg 7.4184 4.7545 5.8272
Mg 3.7791 4.7457 6.6641
Mg 1.3755 3.6854 0.5583
Mg 2.2066 1.6347 2.6436
Mg 1.0620 2.6428 5.5612
Mg 3.4885 1.6435 7.6142
Mg 6.2738 5.7627 8.7448
Mg 4.9919 5.7538 3.7741
In 0.0318 0.0044 3.9859
In 4.2083 3.6942 1.7082
In 2.8647 0.0133 5.1358
```

E_tot	-1.854	eV/atom
space-group type	C2/m
total magnetic moment	0.00	μB/f.u.

***

A relaxed KMg2In2 crystal. Source: Alexandria via LeMat-Bulk, functional GGA-PBE.

Cell and atoms, written as extended XYZ:
```
10
Lattice="9.2616 0.0000 0.0000 0.0000 9.2616 0.0000 0.0000 0.0000 3.1927" Properties=species:S:1:pos:R:3 pbc="T T T"
Mg 5.8161 1.1853 0.0000
Mg 3.4455 8.0763 0.0000
Mg 8.0763 5.8161 0.0000
Mg 1.1853 3.4455 0.0000
In 7.7591 3.1283 1.5964
In 1.5025 6.1333 1.5964
In 6.1333 7.7591 1.5964
In 3.1283 1.5025 1.5964
K 4.6308 4.6308 0.0000
K 0.0000 0.0000 0.0000
```

E_tot	-2.039	eV/atom
space-group type	P4/mbm
total magnetic moment	0.00	μB/f.u.
energy above the lowest structure with this stoichiometry	0	meV per atom

***

A relaxed K2MgIn crystal. Source: Alexandria via LeMat-Bulk, functional GGA-PBE.

Cell and atoms, written as extended XYZ:
```
4
Lattice="6.8599 -0.0558 -0.0412 2.4352 6.4133 0.0412 -3.9988 -4.1272 3.7468" Properties=species:S:1:pos:R:3 pbc="T T T"
K 0.2568 0.1757 0.0000
K 3.5680 -0.6295 1.8528
In 1.9624 3.0200 1.8940
Mg 4.1565 2.8429 0.0000
```

E_tot	-1.582	eV/atom
space-group type	Imm2
total magnetic moment	0.00	μB/f.u.

***

E_form readings, ordered: 0.0147, 0.2362, -0.0617, 0.0796, 0.0272, 0.1521, 0.0157, -0.1014, 0.1439, 0.9541, 0.3272, -0.0446, 0.1606, 0.1945, 0.0992, 0.0593, -0.0715, -0.0339, -0.0860, 0.0498 eV/atom